(1)
# RbMnBiBr6 (GGA-PBE, optimized geometry)
data_RbMnBiBr6
_space_group_name_H-M_alt 'P 3 1 2'
_space_group_IT_number 149
_cell_length_a 7.2934
_cell_length_b 7.2934
_cell_length_c 7.6523
_cell_angle_alpha 90.00
_cell_angle_beta 90.00
_cell_angle_gamma 120.00
loop_
_space_group_symop_operation_xyz
'x,y,z'
'-y,x-y,z'
'-x+y,-x,z'
'-y,-x,-z'
'-x+y,y,-z'
'x,x-y,-z'
loop_
_atom_site_label
_atom_site_type_symbol
_atom_site_fract_x
_atom_site_fract_y
_atom_site_fract_z
Rb1 Rb 0.0000 0.0000 0.0000
Mn1 Mn 0.3333 0.6667 0.5000
Bi1 Bi 0.6667 0.3333 0.5000
Br1 Br 0.0194 0.3836 0.7094
# Formation energy without anion corrections in meV per atom: -1002

=====

(2)
# Mn2TlBiBr8 (GGA-PBE, optimized geometry)
data_Mn2TlBiBr8
_space_group_name_H-M_alt 'P -1'
_space_group_IT_number 2
_cell_length_a 6.600
_cell_length_b 6.940
_cell_length_c 8.480
_cell_angle_alpha 89.92
_cell_angle_beta 89.91
_cell_angle_gamma 88.99
loop_
_space_group_symop_operation_xyz
'x,y,z'
'-x,-y,-z'
loop_
_atom_site_label
_atom_site_type_symbol
_atom_site_fract_x
_atom_site_fract_y
_atom_site_fract_z
Mn1 Mn 0.000 0.000 0.241
Tl1 Tl 0.500 0.500 0.000
Bi1 Bi 0.500 0.500 0.500
Br1 Br 0.216 0.130 0.000
Br2 Br 0.228 0.682 0.727
Br3 Br 0.229 0.683 0.273
Br4 Br 0.235 0.156 0.500
# Formation energy without anion corrections in meV per atom: -697

=====

(3)
# BiMo3Br (GGA-PBE, optimized geometry)
data_BiMo3Br
_space_group_name_H-M_alt 'P m -3 m'
_space_group_IT_number 221
_space_group_name_Hall '-P 4 2 3'
_cell_length_a 4.715
_cell_length_b 4.715
_cell_length_c 4.715
_cell_angle_alpha 90.00
_cell_angle_beta 90.00
_cell_angle_gamma 90.00
loop_
_atom_site_label
_atom_site_type_symbol
_atom_site_fract_x
_atom_site_fract_y
_atom_site_fract_z
Bi1 Bi 0.000 0.000 0.000
Mo1 Mo 0.000 0.500 0.500
Br1 Br 0.500 0.500 0.500
# Formation energy without anion corrections in meV per atom: 1512

=====

(4)
# BiMo2Br (GGA-PBE, optimized geometry)
data_BiMo2Br
_space_group_name_H-M_alt 'I -4 2 d'
_space_group_IT_number 122
_space_group_name_Hall 'I -4 2bw'
_cell_length_a 4.586
_cell_length_b 4.586
_cell_length_c 17.196
_cell_angle_alpha 90.00
_cell_angle_beta 90.00
_cell_angle_gamma 90.00
loop_
_atom_site_label
_atom_site_type_symbol
_atom_site_fract_x
_atom_site_fract_y
_atom_site_fract_z
Bi1 Bi 0.000 0.000 0.000
Mo1 Mo 0.157 0.250 0.625
Br1 Br 0.000 0.000 0.500
# Formation energy without anion corrections in meV per atom: 969

=====

(5)
# Bi2MoBr (GGA-PBE, optimized geometry)
data_Bi2MoBr
_space_group_name_H-M_alt 'F m -3 m'
_space_group_IT_number 225
_space_group_name_Hall '-F 4 2 3'
_cell_length_a 7.430
_cell_length_b 7.430
_cell_length_c 7.430
_cell_angle_alpha 90.00
_cell_angle_beta 90.00
_cell_angle_gamma 90.00
loop_
_atom_site_label
_atom_site_type_symbol
_atom_site_fract_x
_atom_site_fract_y
_atom_site_fract_z
Bi1 Bi 0.250 0.250 0.250
Mo1 Mo 0.000 0.000 0.000
Br1 Br 0.000 0.000 0.500
# Formation energy without anion corrections in meV per atom: 757

=====

(6)
# BiMoBr3 (GGA-PBE, optimized geometry)
data_BiMoBr3
_space_group_name_H-M_alt 'P m -3 m'
_space_group_IT_number 221
_space_group_name_Hall '-P 4 2 3'
_cell_length_a 5.331
_cell_length_b 5.331
_cell_length_c 5.331
_cell_angle_alpha 90.00
_cell_angle_beta 90.00
_cell_angle_gamma 90.00
loop_
_atom_site_label
_atom_site_type_symbol
_atom_site_fract_x
_atom_site_fract_y
_atom_site_fract_z
Bi1 Bi 0.000 0.000 0.000
Mo1 Mo 0.500 0.500 0.500
Br1 Br 0.000 0.500 0.500
# Formation energy without anion corrections in meV per atom: 286

=====

(7)
# Bi2MoBr2 (GGA-PBE, optimized geometry)
data_Bi2MoBr2
_space_group_name_H-M_alt 'P 4/m b m'
_space_group_IT_number 127
_space_group_name_Hall '-P 4 2ab'
_cell_length_a 7.877
_cell_length_b 7.877
_cell_length_c 5.641
_cell_angle_alpha 90.00
_cell_angle_beta 90.00
_cell_angle_gamma 90.00
loop_
_atom_site_label
_atom_site_type_symbol
_atom_site_fract_x
_atom_site_fract_y
_atom_site_fract_z
Bi1 Bi 0.242 0.258 0.000
Mo1 Mo 0.000 0.000 0.000
Br1 Br 0.182 0.682 0.500
# Formation energy without anion corrections in meV per atom: 424

=====

(8)
# Bi2MoBr (GGA-PBE, optimized geometry)
data_Bi2MoBr
_space_group_name_H-M_alt 'I -4 2 d'
_space_group_IT_number 122
_space_group_name_Hall 'I -4 2bw'
_cell_length_a 6.792
_cell_length_b 6.792
_cell_length_c 13.283
_cell_angle_alpha 90.00
_cell_angle_beta 90.00
_cell_angle_gamma 90.00
loop_
_atom_site_label
_atom_site_type_symbol
_atom_site_fract_x
_atom_site_fract_y
_atom_site_fract_z
Bi1 Bi 0.172 0.250 0.125
Mo1 Mo 0.000 0.000 0.000
Br1 Br 0.000 0.000 0.500
# Formation energy without anion corrections in meV per atom: 668

=====

(9)
# Bi3MoBr (GGA-PBE, optimized geometry)
data_Bi3MoBr
_space_group_name_H-M_alt 'P m -3 m'
_space_group_IT_number 221
_space_group_name_Hall '-P 4 2 3'
_cell_length_a 5.600
_cell_length_b 5.600
_cell_length_c 5.600
_cell_angle_alpha 90.00
_cell_angle_beta 90.00
_cell_angle_gamma 90.00
loop_
_atom_site_label
_atom_site_type_symbol
_atom_site_fract_x
_atom_site_fract_y
_atom_site_fract_z
Bi1 Bi 0.000 0.000 0.500
Mo1 Mo 0.500 0.500 0.500
Br1 Br 0.000 0.000 0.000
# Formation energy without anion corrections in meV per atom: 1425

=====

(10)
# BiMo3Br (GGA-PBE, optimized geometry)
data_BiMo3Br
_space_group_name_H-M_alt 'P m -3 m'
_space_group_IT_number 221
_space_group_name_Hall '-P 4 2 3'
_cell_length_a 5.145
_cell_length_b 5.145
_cell_length_c 5.145
_cell_angle_alpha 90.00
_cell_angle_beta 90.00
_cell_angle_gamma 90.00
loop_
_atom_site_label
_atom_site_type_symbol
_atom_site_fract_x
_atom_site_fract_y
_atom_site_fract_z
Bi1 Bi 0.000 0.000 0.000
Mo1 Mo 0.000 0.000 0.500
Br1 Br 0.500 0.500 0.500
# Formation energy without anion corrections in meV per atom: 2588

=====

(11)
# BiMo2Br (GGA-PBE, optimized geometry)
data_BiMo2Br
_space_group_name_H-M_alt 'F m -3 m'
_space_group_IT_number 225
_space_group_name_Hall '-F 4 2 3'
_cell_length_a 6.715
_cell_length_b 6.715
_cell_length_c 6.715
_cell_angle_alpha 90.00
_cell_angle_beta 90.00
_cell_angle_gamma 90.00
loop_
_atom_site_label
_atom_site_type_symbol
_atom_site_fract_x
_atom_site_fract_y
_atom_site_fract_z
Bi1 Bi 0.000 0.000 0.000
Mo1 Mo 0.250 0.250 0.250
Br1 Br 0.000 0.000 0.500
# Formation energy without anion corrections in meV per atom: 963

=====

(12)
# Bi2MoBr2 (GGA-PBE, optimized geometry)
data_Bi2MoBr2
_space_group_name_H-M_alt 'I 4/m m m'
_space_group_IT_number 139
_space_group_name_Hall '-I 4 2'
_cell_length_a 3.807
_cell_length_b 3.807
_cell_length_c 20.730
_cell_angle_alpha 90.00
_cell_angle_beta 90.00
_cell_angle_gamma 90.00
loop_
_atom_site_label
_atom_site_type_symbol
_atom_site_fract_x
_atom_site_fract_y
_atom_site_fract_z
Bi1 Bi 0.000 0.000 0.075
Mo1 Mo 0.000 0.000 0.500
Br1 Br 0.000 0.500 0.250
# Formation energy without anion corrections in meV per atom: 515